Tb2DyTe2 after structural relaxation. Source: Alexandria via LeMat-Bulk, functional GGA-PBE.

Unit cell a=4.6941 b=4.6941 c=7.2170 alpha=79.56 beta=79.56 gamma=78.75
With the nearest neighbours (Å) after each atom.
Element x y z (fractional)
Tb (0.2473, 0.7527, 0.5000)  2 Tb 2.95-3.01, 4 Te 3.13-3.15
Tb (0.7527, 0.2473, 0.5000)  2 Tb 2.95-3.01, 4 Te 3.13-3.15
Te (0.6776, 0.6776, 0.7971)  1 Dy 3.04, 4 Tb 3.13-3.15
Dy (0.0000, 0.0000, 0.0000)  2 Te 3.04
Te (0.3224, 0.3224, 0.2029)  1 Dy 3.04, 4 Tb 3.13-3.15

As for the density: 8.06 g cm⁻³. Its uncorrected formation energy is -715 meV per atom. Its space group is C2/m (12).